1.
8
Lattice="5.870 0.017 -2.502 2.199 5.935 -0.937 -0.285 -0.009 7.468" Properties=species:S:1:pos:R:3 comment="PBE KGaSb2, optimized geometry" dos_ef_per_ev_atom=0.030 e_form_raw_ev_per_atom=-0.275 pbc="T T T"
Sb 3.904 3.800 3.830
Sb 3.880 2.144 0.199
Sb 1.491 0.833 1.217
Sb 6.293 5.111 2.812
Ga 4.584 1.488 5.163
Ga 3.200 4.456 -1.134
K 0.992 1.479 4.872
K 6.792 4.465 -0.843



2.
4
Lattice="-2.896 2.832 -3.185 -1.622 -2.606 -4.138 -0.131 0.215 5.146" Properties=species:S:1:pos:R:3 comment="PBE MgTaOs2, optimized geometry" final_energy_ev_per_atom=-8.87 dos_ef_per_ev_atom=0.597 pbc="T T T"
Os -0.040 0.002 -0.065
Os -2.219 0.111 -3.596
Ta -2.006 -1.139 -1.327
Mg -2.643 1.580 -0.850